(1)
Material: LiPAuSe4
Method: DFT, GGA-PBE
State: relaxed

Properties
**DFT total energy**: -51.741 eV per cell
**Space group**: Cmcm (63)
**Energy relative to the elements, uncorrected**: -18.35 kJ per mole of atoms
**Calculated volume**: 23.47 A^3/atom

Lattice parameters (Å, degrees): 6.9331 6.9331 7.8944 90.00 90.00 120.03
Positions (direct):
Li 0.5000 0.5000 0.5000
Li 0.5000 0.5000 0.0000
P 0.1505 0.8495 0.2500
P 0.8495 0.1505 0.7500
Au 0.8530 0.1470 0.2500
Au 0.1470 0.8530 0.7500
Se 0.2204 0.2716 0.7500
Se 0.7284 0.7796 0.7500
Se 0.7377 0.2623 0.9778
Se 0.7377 0.2623 0.5222
Se 0.2623 0.7377 0.0222
Se 0.2623 0.7377 0.4778
Se 0.7796 0.7284 0.2500
Se 0.2716 0.2204 0.2500

(2)
Material: Hf2PaNi
Method: DFT, GGA-PBE
State: relaxed

Properties
**DFT total energy**: -34.266 eV per cell
**Space group**: R-3m (166)
**Calculated volume**: 20.49 A^3/atom
**DFT formation energy**: 0.23 eV per atom

Lattice parameters (Å, degrees): 3.0643 3.0643 10.2348 81.39 81.39 60.00
Positions (direct):
Ni 0.5000 0.5000 0.5000
Pa 0.0000 0.0000 0.0000
Hf 0.0994 0.0994 0.7019
Hf 0.9006 0.9006 0.2981

(3)
Material: AlTe2Cl
Method: DFT, GGA-PBE
State: relaxed

Properties
**DFT total energy**: -12.273 eV per cell
**Space group**: P4/mmm (123)
**Energy relative to the elements, uncorrected**: -9.66 kJ per mole of atoms
**Calculated volume**: 25.13 A^3/atom
**Energy relative to the lowest polymorph listed for this composition**: 1.85 eV per formula unit

Lattice parameters (Å, degrees): 3.6825 3.6816 7.4132 90.00 90.00 90.00
Positions (direct):
Te 0.0000 0.0000 0.0529
Te 0.0000 0.0000 0.4471
Al 0.5000 0.5000 0.2500
Cl 0.5000 0.5000 0.7500

(4)
Material: MoAuBr2
Method: DFT, GGA-PBE
State: relaxed

Properties
**DFT total energy**: -14.290 eV per cell
**Space group**: P4/mmm (123)
**Energy relative to the elements, uncorrected**: 76.33 kJ per mole of atoms
**Calculated volume**: 22.11 A^3/atom
**Energy relative to the lowest polymorph listed for this composition**: 2.83 eV per formula unit

Lattice parameters (Å, degrees): 3.8599 4.7870 4.7870 90.00 90.00 90.00
Positions (direct):
Mo 0.5000 0.5000 0.0000
Au 0.5000 0.0000 0.5000
Br 0.0000 0.0000 0.0000
Br 0.0000 0.5000 0.5000

(5)
Material: Y2RhCl2
Method: DFT, GGA-PBE
State: relaxed

Properties
**DFT total energy**: -28.502 eV per cell
**Space group**: I4/mmm (139)
**Energy relative to the elements, uncorrected**: -87.39 kJ per mole of atoms
**Calculated volume**: 22.04 A^3/atom
**Energy relative to the lowest polymorph listed for this composition**: 2.95 eV per formula unit

Lattice parameters (Å, degrees): 5.4128 5.4128 5.3657 59.71 59.71 90.00
Positions (direct):
Y 0.7500 0.2500 0.5000
Y 0.2500 0.7500 0.5000
Rh 0.0000 0.0000 0.0000
Cl 0.3043 0.3043 0.3913
Cl 0.6957 0.6957 0.6087

(6)
Material: Y2TaCdTe
Method: DFT, GGA-PBE
State: relaxed

Properties
**DFT total energy**: -26.450 eV per cell
**Space group**: P4/mmm (123)
**Energy relative to the elements, uncorrected**: 46.06 kJ per mole of atoms
**Calculated volume**: 32.01 A^3/atom

Lattice parameters (Å, degrees): 5.6253 5.0579 5.6253 90.00 90.00 90.00
Positions (direct):
Y 0.0000 0.0000 0.5000
Y 0.5000 0.0000 0.0000
Cd 0.5000 0.5000 0.5000
Te 0.0000 0.0000 0.0000
Ta 0.0000 0.5000 0.0000

(7)
Material: Ac3Cu2GePd9
Method: DFT, GGA-PBE
State: relaxed

Properties
**DFT total energy**: -79.576 eV per cell
**Space group**: P-3m1 (164)
**Calculated volume**: 22.05 A^3/atom
**DFT formation energy**: -0.51 eV per atom

Lattice parameters (Å, degrees): 5.8801 5.8801 11.0445 90.00 90.00 120.00
Positions (direct):
Ac 0.3333 0.6667 0.7338
Ac 0.0000 0.0000 0.0000
Ac 0.6667 0.3333 0.2662
Cu 0.3333 0.6667 0.1711
Cu 0.6667 0.3333 0.8289
Ge 0.0000 0.0000 0.5000
Pd 0.8263 0.1737 0.6497
Pd 0.8263 0.6526 0.6497
Pd 0.3474 0.1737 0.6497
Pd 0.6526 0.8263 0.3503
Pd 0.1737 0.3474 0.3503
Pd 0.1737 0.8263 0.3503
Pd 0.5000 0.0000 0.0000
Pd 0.0000 0.5000 0.0000
Pd 0.5000 0.5000 0.0000

(8)
Material: PuHgBiRh
Method: DFT, GGA-PBE
State: relaxed

Properties
**DFT total energy**: -26.226 eV per cell
**Space group**: F-43m (216)
**Calculated volume**: 23.05 A^3/atom
**DFT formation energy**: -0.09 eV per atom

Lattice parameters (Å, degrees): 5.0710 5.0710 5.0710 60.00 60.00 60.00
Positions (direct):
Hg 0.7500 0.7500 0.7500
Rh 0.2500 0.2500 0.2500
Bi 0.0000 0.0000 0.0000
Pu 0.5000 0.5000 0.5000

(9)
Material: LaTb2Cd2Hg2
Method: DFT, GGA-PBE
State: relaxed

Properties
**DFT total energy**: -18.602 eV per cell
**Space group**: R-3m (166)
**Calculated volume**: 27.77 A^3/atom
**DFT formation energy**: -0.28 eV per atom

Lattice parameters (Å, degrees): 4.9869 4.9869 9.4745 74.74 74.74 60.00
Positions (direct):
La 0.0000 0.0000 0.0000
Tb 0.1264 0.1264 0.6207
Tb 0.8736 0.8736 0.3793
Cd 0.7460 0.7460 0.7620
Cd 0.2540 0.2540 0.2380
Hg 0.5946 0.5946 0.2163
Hg 0.4054 0.4054 0.7837

(10)
Material: CeFe4Au
Method: DFT, GGA-PBE
State: relaxed

Properties
**DFT total energy**: -43.336 eV per cell
**Space group**: F-43m (216)
**Calculated volume**: 15.28 A^3/atom
**DFT formation energy**: -0.05 eV per atom

Lattice parameters (Å, degrees): 5.0615 5.0615 5.0615 60.00 60.00 60.00
Positions (direct):
Au 0.0000 0.0000 0.0000
Fe 0.6258 0.6258 0.1225
Fe 0.6258 0.1225 0.6258
Fe 0.6258 0.6258 0.6258
Fe 0.1225 0.6258 0.6258
Ce 0.2500 0.2500 0.2500

(11)
Material: Pu2GaFe2Co5
Method: DFT, GGA-PBE
State: relaxed

Properties
**DFT total energy**: -170.135 eV per cell
**Space group**: P4/mbm (127)
**Calculated volume**: 13.86 A^3/atom
**DFT formation energy**: -0.09 eV per atom

Lattice parameters (Å, degrees): 3.8160 8.5243 8.5243 90.00 90.00 90.00
Positions (direct):
Pu 0.0000 0.6761 0.1761
Pu 0.0000 0.3239 0.8239
Pu 0.0000 0.1761 0.3239
Pu 0.0000 0.8239 0.6761
Ga 0.0000 0.0000 0.0000
Ga 0.0000 0.5000 0.5000
Fe 0.0000 0.1267 0.6267
Fe 0.0000 0.8733 0.3733
Fe 0.0000 0.6267 0.8733
Fe 0.0000 0.3733 0.1267
Co 0.5000 0.1998 0.0649
Co 0.5000 0.8002 0.9351
Co 0.5000 0.0649 0.8002
Co 0.5000 0.6998 0.4351
Co 0.5000 0.9351 0.1998
Co 0.5000 0.3002 0.5649
Co 0.5000 0.5649 0.6998
Co 0.5000 0.4351 0.3002
Co 0.5000 0.5000 0.0000
Co 0.5000 0.0000 0.5000

(12)
Material: Ti4NbOs5
Method: DFT, GGA-PBE
State: relaxed

Properties
**DFT total energy**: -103.804 eV per cell
**Space group**: P4/mmm (123)
**Calculated volume**: 15.06 A^3/atom
**DFT formation energy**: -0.60 eV per atom

Lattice parameters (Å, degrees): 3.1014 3.1014 15.6551 90.00 90.00 90.00
Positions (direct):
Ti 0.0000 0.0000 0.2051
Ti 0.0000 0.0000 0.4016
Ti 0.0000 0.0000 0.5984
Ti 0.0000 0.0000 0.7949
Nb 0.0000 0.0000 0.0000
Os 0.5000 0.5000 0.1073
Os 0.5000 0.5000 0.3030
Os 0.5000 0.5000 0.5000
Os 0.5000 0.5000 0.6970
Os 0.5000 0.5000 0.8927